No. 1
Na2TcSeN | Alexandria | PBE-GGA | optimized geometry; space group = P4/mmm, No. 123; uncorrected formation energy = 635 kJ/mol of formula units; E_tot = -3.646 eV/atom
1.0
5.8350 0.0000 0.0000
0.0000 5.8350 0.0000
0.0000 0.0000 3.7448
Na Tc Se N
2 1 1 1
Cartesian
0.0000 2.9175 0.0000 Na
2.9175 0.0000 0.0000 Na
0.0000 0.0000 1.8724 Tc
2.9175 2.9175 0.0000 Se
2.9175 2.9175 1.8724 N

---

No. 2
NaTcSe2N | Alexandria | PBE-GGA | optimized geometry; space group = P4/mmm, No. 123; uncorrected formation energy = 810 kJ/mol of formula units; E_tot = -3.718 eV/atom
1.0
5.1886 0.0000 0.0000
0.0000 5.1886 0.0000
0.0000 0.0000 4.1427
Na Tc Se N
1 1 2 1
Cartesian
0.0000 0.0000 0.0000 Na
2.5943 2.5943 2.0714 Tc
0.0000 2.5943 0.0000 Se
2.5943 0.0000 0.0000 Se
0.0000 0.0000 2.0714 N

---

No. 3
NaTcSe2N | Alexandria | PBE-GGA | optimized geometry; space group = P4/mmm, No. 123; uncorrected formation energy = -32 kJ/mol of formula units; E_tot = -5.462 eV/atom
1.0
5.1468 0.0000 0.0000
0.0000 5.1468 0.0000
0.0000 0.0000 3.7353
Na Tc Se N
1 1 2 1
Cartesian
0.0000 0.0000 0.0000 Na
2.5734 2.5734 1.8677 Tc
0.0000 2.5734 1.8677 Se
2.5734 0.0000 1.8677 Se
2.5734 2.5734 0.0000 N

---

No. 4
NaTcSeN2 | Alexandria | PBE-GGA | optimized geometry; space group = P4/mmm, No. 123; uncorrected formation energy = 1253 kJ/mol of formula units; E_tot = -3.767 eV/atom
1.0
3.9668 0.0000 0.0000
0.0000 3.9668 0.0000
0.0000 0.0000 4.8778
Na Tc Se N
1 1 1 2
Cartesian
0.0000 0.0000 0.0000 Na
1.9834 1.9834 2.4389 Tc
0.0000 0.0000 2.4389 Se
0.0000 1.9834 0.0000 N
1.9834 0.0000 0.0000 N

---

No. 5
NaTeSeN2 | Alexandria | PBE-GGA | optimized geometry; space group = P4/mmm, No. 123; uncorrected formation energy = 468 kJ/mol of formula units; E_tot = -3.950 eV/atom
1.0
4.0939 0.0000 0.0000
0.0000 4.0939 0.0000
0.0000 0.0000 5.5309
Na Te Se N
1 1 1 2
Cartesian
0.0000 0.0000 0.0000 Na
2.0469 2.0469 2.7654 Te
2.0469 2.0469 0.0000 Se
0.0000 2.0469 2.7654 N
2.0469 0.0000 2.7654 N

---

No. 6
NaTeSeN2 | Alexandria | PBE-GGA | optimized geometry; space group = P4/mmm, No. 123; uncorrected formation energy = 1025 kJ/mol of formula units; E_tot = -2.794 eV/atom
1.0
4.3657 0.0000 0.0000
0.0000 4.3657 0.0000
0.0000 0.0000 6.2098
Na Te Se N
1 1 1 2
Cartesian
0.0000 0.0000 0.0000 Na
0.0000 0.0000 3.1049 Te
2.1828 2.1828 3.1049 Se
0.0000 2.1828 0.0000 N
2.1828 0.0000 0.0000 N

---

No. 7
NaTeSeN2 | Alexandria | PBE-GGA | optimized geometry; space group = P4/mmm, No. 123; uncorrected formation energy = 637 kJ/mol of formula units; E_tot = -3.600 eV/atom
1.0
4.1758 0.0000 0.0000
0.0000 4.1758 0.0000
0.0000 0.0000 5.7162
Na Te Se N
1 1 1 2
Cartesian
0.0000 0.0000 0.0000 Na
2.0879 2.0879 0.0000 Te
2.0879 2.0879 2.8581 Se
0.0000 2.0879 2.8581 N
2.0879 0.0000 2.8581 N

---

No. 8
NaTeSeN2 | Alexandria | PBE-GGA | optimized geometry; space group = P4/mmm, No. 123; uncorrected formation energy = 871 kJ/mol of formula units; E_tot = -3.113 eV/atom
1.0
4.4057 0.0000 0.0000
0.0000 4.4057 0.0000
0.0000 0.0000 5.9618
Na Te Se N
1 1 1 2
Cartesian
0.0000 0.0000 0.0000 Na
2.2028 2.2028 2.9809 Te
0.0000 0.0000 2.9809 Se
0.0000 2.2028 0.0000 N
2.2028 0.0000 0.0000 N

---

No. 9
NaTiSeN2 | Alexandria | PBE-GGA | optimized geometry; space group = P4/mmm, No. 123; uncorrected formation energy = 0 kJ/mol of formula units; E_tot = -5.869 eV/atom
1.0
4.0181 0.0000 0.0000
0.0000 4.0181 0.0000
0.0000 0.0000 5.1468
Na Ti Se N
1 1 1 2
Cartesian
0.0000 0.0000 0.0000 Na
2.0090 2.0090 2.5734 Ti
2.0090 2.0090 0.0000 Se
0.0000 2.0090 2.5734 N
2.0090 0.0000 2.5734 N

---

No. 10
NaTiSeN2 | Alexandria | PBE-GGA | optimized geometry; space group = P4/mmm, No. 123; uncorrected formation energy = 801 kJ/mol of formula units; E_tot = -4.210 eV/atom
1.0
4.1564 0.0000 0.0000
0.0000 4.1564 0.0000
0.0000 0.0000 5.1523
Na Ti Se N
1 1 1 2
Cartesian
0.0000 0.0000 0.0000 Na
2.0782 2.0782 2.5761 Ti
0.0000 0.0000 2.5761 Se
0.0000 2.0782 0.0000 N
2.0782 0.0000 0.0000 N

---

No. 11
NaTlSe2N | Alexandria | PBE-GGA | optimized geometry; space group = P4/mmm, No. 123; uncorrected formation energy = 337 kJ/mol of formula units; E_tot = -3.098 eV/atom
1.0
5.5765 0.0000 0.0000
0.0000 5.5765 0.0000
0.0000 0.0000 4.4673
Na Tl Se N
1 1 2 1
Cartesian
0.0000 0.0000 0.0000 Na
2.7883 2.7883 2.2337 Tl
0.0000 2.7883 2.2337 Se
2.7883 0.0000 2.2337 Se
2.7883 2.7883 0.0000 N

---

No. 12
NaTlSe2N | Alexandria | PBE-GGA | optimized geometry; space group = P4/mmm, No. 123; uncorrected formation energy = 448 kJ/mol of formula units; E_tot = -2.868 eV/atom
1.0
5.4952 0.0000 0.0000
0.0000 5.4952 0.0000
0.0000 0.0000 4.6547
Na Tl Se N
1 1 2 1
Cartesian
0.0000 0.0000 0.0000 Na
2.7476 2.7476 2.3273 Tl
0.0000 2.7476 0.0000 Se
2.7476 0.0000 0.0000 Se
0.0000 0.0000 2.3273 N

---

No. 13
NaVSe2N | Alexandria | PBE-GGA | optimized geometry; space group = P4/mmm, No. 123; uncorrected formation energy = -152 kJ/mol of formula units; E_tot = -5.461 eV/atom
1.0
5.0829 0.0000 0.0000
0.0000 5.0829 0.0000
0.0000 0.0000 3.6543
Na V Se N
1 1 2 1
Cartesian
0.0000 0.0000 0.0000 Na
2.5414 2.5414 1.8272 V
0.0000 2.5414 1.8272 Se
2.5414 0.0000 1.8272 Se
2.5414 2.5414 0.0000 N

---

No. 14
NaVSe2N | Alexandria | PBE-GGA | optimized geometry; space group = P4/mmm, No. 123; uncorrected formation energy = 641 kJ/mol of formula units; E_tot = -3.818 eV/atom
1.0
5.1663 0.0000 0.0000
0.0000 5.1663 0.0000
0.0000 0.0000 4.1256
Na V Se N
1 1 2 1
Cartesian
0.0000 0.0000 0.0000 Na
2.5832 2.5832 2.0628 V
0.0000 2.5832 0.0000 Se
2.5832 0.0000 0.0000 Se
0.0000 0.0000 2.0628 N

---

No. 15
NaWSe2N | Alexandria | PBE-GGA | optimized geometry; space group = P4/mmm, No. 123; uncorrected formation energy = 927 kJ/mol of formula units; E_tot = -3.992 eV/atom
1.0
5.1267 0.0000 0.0000
0.0000 5.1267 0.0000
0.0000 0.0000 3.9879
Na W Se N
1 1 2 1
Cartesian
0.0000 0.0000 0.0000 Na
2.5633 2.5633 1.9939 W
0.0000 2.5633 0.0000 Se
2.5633 0.0000 0.0000 Se
0.0000 0.0000 1.9939 N

---

No. 16
NaWSeN2 | Alexandria | PBE-GGA | optimized geometry; space group = P4/mmm, No. 123; uncorrected formation energy = -17 kJ/mol of formula units; E_tot = -6.916 eV/atom
1.0
3.9548 0.0000 0.0000
0.0000 3.9548 0.0000
0.0000 0.0000 5.2492
Na W Se N
1 1 1 2
Cartesian
0.0000 0.0000 0.0000 Na
1.9774 1.9774 2.6246 W
1.9774 1.9774 0.0000 Se
0.0000 1.9774 2.6246 N
1.9774 0.0000 2.6246 N

---

No. 17
NaWSe2N | Alexandria | PBE-GGA | optimized geometry; space group = P4/mmm, No. 123; uncorrected formation energy = -101 kJ/mol of formula units; E_tot = -6.123 eV/atom
1.0
5.1237 0.0000 0.0000
0.0000 5.1237 0.0000
0.0000 0.0000 3.8481
Na W Se N
1 1 2 1
Cartesian
0.0000 0.0000 0.0000 Na
2.5618 2.5618 1.9241 W
0.0000 2.5618 1.9241 Se
2.5618 0.0000 1.9241 Se
2.5618 2.5618 0.0000 N

---

No. 18
NaWSeN2 | Alexandria | PBE-GGA | optimized geometry; space group = P4/mmm, No. 123; uncorrected formation energy = 1282 kJ/mol of formula units; E_tot = -4.223 eV/atom
1.0
3.9460 0.0000 0.0000
0.0000 3.9460 0.0000
0.0000 0.0000 4.8188
Na W Se N
1 1 1 2
Cartesian
0.0000 0.0000 0.0000 Na
1.9730 1.9730 2.4094 W
0.0000 0.0000 2.4094 Se
0.0000 1.9730 0.0000 N
1.9730 0.0000 0.0000 N

---

No. 19
NaWSeN2 | Alexandria | PBE-GGA | optimized geometry; space group = P4/mmm, No. 123; uncorrected formation energy = 288 kJ/mol of formula units; E_tot = -6.285 eV/atom
1.0
3.9032 0.0000 0.0000
0.0000 3.9032 0.0000
0.0000 0.0000 8.1068
Na W Se N
1 1 1 2
Cartesian
0.0000 0.0000 0.0000 Na
0.0000 0.0000 4.0534 W
1.9516 1.9516 0.0000 Se
0.0000 1.9516 4.0534 N
1.9516 0.0000 4.0534 N

---

No. 20
NaZnSe2N | Alexandria | PBE-GGA | optimized geometry; space group = P4/mmm, No. 123; uncorrected formation energy = 219 kJ/mol of formula units; E_tot = -3.124 eV/atom
1.0
4.4423 0.0000 0.0000
0.0000 4.4423 0.0000
0.0000 0.0000 4.4345
Na Zn Se N
1 1 2 1
Cartesian
0.0000 0.0000 0.0000 Na
2.2212 2.2212 0.0000 Zn
0.0000 2.2212 2.2173 Se
2.2212 0.0000 2.2173 Se
0.0000 0.0000 2.2173 N

---

No. 21
NaZnSe2N | Alexandria | PBE-GGA | optimized geometry; space group = P4/mmm, No. 123; uncorrected formation energy = 595 kJ/mol of formula units; E_tot = -2.343 eV/atom
1.0
5.2178 0.0000 0.0000
0.0000 5.2178 0.0000
0.0000 0.0000 4.3552
Na Zn Se N
1 1 2 1
Cartesian
0.0000 0.0000 0.0000 Na
2.6089 2.6089 2.1776 Zn
0.0000 2.6089 0.0000 Se
2.6089 0.0000 0.0000 Se
0.0000 0.0000 2.1776 N

---

No. 22
NaZnSe2N | Alexandria | PBE-GGA | optimized geometry; space group = P4/mmm, No. 123; uncorrected formation energy = 223 kJ/mol of formula units; E_tot = -3.116 eV/atom
1.0
5.3518 0.0000 0.0000
0.0000 5.3518 0.0000
0.0000 0.0000 3.7258
Na Zn Se N
1 1 2 1
Cartesian
0.0000 0.0000 0.0000 Na
2.6759 2.6759 1.8629 Zn
0.0000 2.6759 1.8629 Se
2.6759 0.0000 1.8629 Se
2.6759 2.6759 0.0000 N

---

No. 23
NaZrSeN2 | Alexandria | PBE-GGA | optimized geometry; space group = P4/mmm, No. 123; uncorrected formation energy = 656 kJ/mol of formula units; E_tot = -4.640 eV/atom
1.0
4.1310 0.0000 0.0000
0.0000 4.1310 0.0000
0.0000 0.0000 4.8309
Na Zr Se N
1 1 1 2
Cartesian
0.0000 0.0000 0.0000 Na
2.0655 2.0655 2.4154 Zr
0.0000 0.0000 2.4154 Se
0.0000 2.0655 0.0000 N
2.0655 0.0000 0.0000 N

---

No. 24
NaZrSeN2 | Alexandria | PBE-GGA | optimized geometry; space group = P4/mmm, No. 123; uncorrected formation energy = -12 kJ/mol of formula units; E_tot = -6.025 eV/atom
1.0
4.3312 0.0000 0.0000
0.0000 4.3312 0.0000
0.0000 0.0000 5.4017
Na Zr Se N
1 1 1 2
Cartesian
0.0000 0.0000 0.0000 Na
2.1656 2.1656 2.7008 Zr
2.1656 2.1656 0.0000 Se
0.0000 2.1656 2.7008 N
2.1656 0.0000 2.7008 N

---

No. 25
NaSiN2 | Alexandria | PBE-GGA | optimized geometry; space group = R-3m, No. 166; uncorrected formation energy = 232 kJ/mol of formula units; E_tot = -5.247 eV/atom
1.0
1.6843 0.9724 6.3458
-1.6843 0.9724 6.3458
0.0000 -1.9449 6.3458
Na Si N
1 1 2
Cartesian
0.0000 0.0000 0.0000 Na
0.0000 0.0000 9.5187 Si
0.0000 0.0000 7.8984 N
0.0000 0.0000 11.1389 N

---

No. 26
Na2Si2N | Alexandria | PBE-GGA | optimized geometry; space group = P4/mbm, No. 127; uncorrected formation energy = 498 kJ/mol of formula units; E_tot = -3.329 eV/atom
1.0
5.9606 0.0000 0.0000
0.0000 5.9606 0.0000
0.0000 0.0000 5.1199
Na Si N
4 4 2
Cartesian
0.9809 1.9994 0.0000 Na
1.9994 4.9798 0.0000 Na
3.9612 0.9809 0.0000 Na
4.9798 3.9612 0.0000 Na
0.8497 3.8300 2.5599 Si
2.1306 0.8497 2.5599 Si
3.8300 5.1109 2.5599 Si
5.1109 2.1306 2.5599 Si
0.0000 0.0000 0.0000 N
2.9803 2.9803 0.0000 N

---

No. 27
NaSi2N | Alexandria | PBE-GGA | optimized geometry; space group = I4_1/amd, No. 141; uncorrected formation energy = 141 kJ/mol of formula units; E_tot = -4.757 eV/atom
1.0
-2.2998 2.2998 6.4269
2.2998 -2.2998 6.4269
2.2998 2.2998 -6.4269
Na Si N
2 4 2
Cartesian
2.2998 1.1499 1.6067 Na
0.0000 1.1499 4.8201 Na
0.0000 0.0000 0.0000 Si
1.1499 1.1499 -3.2134 Si
1.1499 -1.1499 3.2134 Si
0.0000 2.2998 0.0000 Si
2.2998 -1.1499 4.8201 N
0.0000 3.4498 1.6067 N

---

No. 28
NaSiN2 | Alexandria | PBE-GGA | optimized geometry; space group = Pna2_1, No. 33; uncorrected formation energy = -193 kJ/mol of formula units; E_tot = -6.348 eV/atom
1.0
5.5297 0.0000 0.0000
0.0000 6.9388 0.0000
0.0000 0.0000 5.4032
Na Si N
4 4 8
Cartesian
0.4087 0.8435 0.0000 Na
2.3561 4.3129 2.7016 Na
3.1736 2.6259 0.0000 Na
5.1209 6.0953 2.7016 Na
0.2845 4.3499 0.0416 Si
2.4803 0.8805 2.7432 Si
3.0494 6.0583 0.0416 Si
5.2451 2.5889 2.7432 Si
0.1442 3.8924 1.6958 N
0.8330 1.3062 2.4586 N
1.9318 4.7756 5.1602 N
2.6207 0.4230 4.3974 N
2.9090 6.5158 1.6958 N
3.5979 2.1632 2.4586 N
4.6966 5.6326 5.1602 N
5.3855 3.0464 4.3974 N